1.
{"formula": "CaMg2MnS4", "functional": "PBE", "state": "relaxed", "cell": [[5.385, 0.294, 0.000], [-0.293, 5.385, 0.000], [-2.546, -2.840, 5.296]], "species": ["S", "S", "S", "S", "Mg", "Mg", "Mn", "Ca"], "fractional_positions": [[0.675, 0.675, 0.475], [0.200, 0.200, 0.525], [0.437, 0.937, 0.000], [0.937, 0.437, 0.000], [0.187, 0.687, 0.500], [0.687, 0.187, 0.500], [0.436, 0.436, 0.000], [0.937, 0.937, 0.000]], "e_form_raw_ev_per_atom": -1.33}

2.
{"formula": "Ca2MgMnSe4", "functional": "PBE", "state": "relaxed", "cell": [[4.046, 0.000, 0.000], [0.000, 7.023, 0.117], [0.000, -2.462, 6.545]], "species": ["Se", "Se", "Se", "Se", "Mn", "Ca", "Ca", "Mg"], "fractional_positions": [[0.500, 0.240, 0.226], [0.000, 0.744, 0.229], [0.000, 0.256, 0.771], [0.500, 0.760, 0.774], [0.000, 0.000, 0.000], [0.000, 0.500, 0.500], [0.500, 0.000, 0.500], [0.500, 0.500, 0.000]], "e_form_raw_ev_per_atom": -1.39}

3.
{"formula": "CaMg2MnSe4", "functional": "PBE", "state": "relaxed", "cell": [[5.650, 0.308, 0.000], [-0.308, 5.650, 0.000], [-2.671, -2.979, 5.568]], "species": ["Se", "Se", "Se", "Se", "Mg", "Mg", "Mn", "Ca"], "fractional_positions": [[0.675, 0.675, 0.474], [0.437, 0.937, 0.000], [0.201, 0.201, 0.526], [0.937, 0.437, 0.000], [0.188, 0.688, 0.500], [0.688, 0.188, 0.500], [0.434, 0.434, 0.000], [0.937, 0.937, 0.000]], "e_form_raw_ev_per_atom": -1.18}

4.
{"formula": "CaMg2MnV", "functional": "PBE", "state": "relaxed", "cell": [[-0.745, -4.965, -0.888], [3.727, 0.063, -3.479], [2.784, -0.948, 2.966]], "species": ["Ca", "Mg", "Mg", "V", "Mn"], "fractional_positions": [[0.000, 0.000, 0.000], [0.500, 0.000, 0.000], [0.000, 0.500, 0.000], [0.500, 0.500, 0.500], [0.000, 0.000, 0.500]], "delta_e_f_ev_per_atom": 1.990, "dos_at_fermi_per_ev_cell": 9.7}

5.
{"formula": "CaMgMo2", "functional": "PBE", "state": "relaxed", "cell": [[3.508, 0.000, 0.000], [0.000, 4.381, 0.000], [0.000, 0.000, 4.961]], "species": ["Mo", "Mo", "Mg", "Ca"], "fractional_positions": [[0.500, 0.500, 0.000], [0.000, 0.000, 0.000], [0.000, 0.500, 0.500], [0.500, 0.000, 0.500]], "delta_e_f_ev_per_atom": 0.649, "dos_at_fermi_per_ev_cell": 2.6}

6.
{"formula": "Ca2MgMo", "functional": "PBE", "state": "relaxed", "cell": [[-1.353, 2.047, 1.906], [-2.652, -1.611, -0.162], [2.973, -5.724, 8.258]], "species": ["Ca", "Ca", "Mg", "Mo"], "fractional_positions": [[0.000, 0.000, 0.954], [0.500, 0.500, 0.277], [0.000, 0.000, 0.538], [0.500, 0.500, 0.730]], "delta_e_f_ev_per_atom": 0.523, "dos_at_fermi_per_ev_cell": 3.0}

7.
{"formula": "CaMg2Mo", "functional": "PBE", "state": "relaxed", "cell": [[-0.529, 0.799, 5.054], [4.945, -1.225, 0.712], [0.816, 3.063, -0.399]], "species": ["Mg", "Mg", "Ca", "Mo"], "fractional_positions": [[0.500, 0.500, 0.000], [0.000, 0.000, 0.000], [0.000, 0.500, 0.500], [0.500, 0.000, 0.500]], "delta_e_f_ev_per_atom": 0.509, "de_polymorph_ev_per_fu": 0.586, "dos_at_fermi_per_ev_cell": 1.0}

8.
{"formula": "Ca2MgMo", "functional": "PBE", "state": "relaxed", "cell": [[-0.360, -2.130, 2.216], [-1.020, -2.022, -2.109], [9.766, -3.286, -1.571]], "species": ["Mg", "Ca", "Ca", "Mo"], "fractional_positions": [[0.500, 0.500, 0.250], [0.000, 0.000, 0.524], [0.000, 0.000, 0.976], [0.500, 0.500, 0.750]], "delta_e_f_ev_per_atom": 0.513, "dos_at_fermi_per_ev_cell": 2.1}

9.
{"formula": "CaMgMo3", "functional": "PBE", "state": "relaxed", "cell": [[-3.152, 3.386, -0.796], [-1.654, -2.404, -3.677], [-3.060, -2.189, 2.807]], "species": ["Mo", "Mo", "Mo", "Ca", "Mg"], "fractional_positions": [[0.000, 0.500, 0.000], [0.000, 0.000, 0.500], [0.500, 0.000, 0.000], [0.000, 0.000, 0.000], [0.500, 0.500, 0.500]], "delta_e_f_ev_per_atom": 2.416, "de_polymorph_ev_per_fu": 2.492, "dos_at_fermi_per_ev_cell": 5.0}

10.
{"formula": "CaMg2Mo", "functional": "PBE", "state": "relaxed", "cell": [[-3.835, -2.907, -2.513], [-1.916, -2.185, -4.586], [2.536, -5.163, 0.549]], "species": ["Mo", "Mg", "Mg", "Ca"], "fractional_positions": [[0.750, 0.750, 0.750], [0.488, 0.488, 0.537], [0.012, 0.012, 0.963], [0.250, 0.250, 0.250]], "delta_e_f_ev_per_atom": 0.455, "de_polymorph_ev_per_fu": 0.368, "dos_at_fermi_per_ev_cell": 3.0}

11.
{"formula": "Ca2MgMo", "functional": "PBE", "state": "relaxed", "cell": [[6.106, 0.012, 0.001], [5.286, 3.058, 0.001], [1.735, 0.467, 5.463]], "species": ["Ca", "Ca", "Mo", "Mg"], "fractional_positions": [[0.973, 0.973, 0.072], [0.768, 0.768, 0.694], [0.223, 0.223, 0.216], [0.536, 0.536, 0.518]], "delta_e_f_ev_per_atom": 0.533, "dos_at_fermi_per_ev_cell": 3.6}

12.
{"formula": "CaMgMo2", "functional": "PBE", "state": "relaxed", "cell": [[-5.329, -1.580, 1.097], [3.352, -4.036, -2.354], [0.190, -1.596, 2.238]], "species": ["Mg", "Mo", "Mo", "Ca"], "fractional_positions": [[0.500, 0.500, 0.000], [0.000, 0.000, 0.000], [0.500, 0.000, 0.500], [0.000, 0.500, 0.500]], "delta_e_f_ev_per_atom": 0.642, "dos_at_fermi_per_ev_cell": 3.4}

13.
{"formula": "CaMg2Mo", "functional": "PBE", "state": "relaxed", "cell": [[4.366, 0.000, 0.000], [0.000, 4.366, 0.000], [2.183, 2.183, 10.743]], "species": ["Mg", "Mg", "Mg", "Mg", "Mo", "Mo", "Ca", "Ca"], "fractional_positions": [[0.375, 0.339, 0.750], [0.661, 0.125, 0.250], [0.875, 0.911, 0.750], [0.089, 0.625, 0.250], [0.000, 0.000, 0.000], [0.750, 0.250, 0.500], [0.250, 0.750, 0.500], [0.500, 0.500, 0.000]], "delta_e_f_ev_per_atom": 0.878, "de_polymorph_ev_per_fu": 2.063, "dos_at_fermi_per_ev_cell": 6.7}

14.
{"formula": "CaMgMo2", "functional": "PBE", "state": "relaxed", "cell": [[-3.971, -4.405, -8.501], [-3.299, -6.857, -7.038], [-5.856, -5.508, -6.542]], "species": ["Mo", "Mo", "Ca", "Mg"], "fractional_positions": [[0.496, 0.496, 0.496], [0.004, 0.004, 0.004], [0.250, 0.250, 0.250], [0.750, 0.750, 0.750]], "delta_e_f_ev_per_atom": 0.779, "dos_at_fermi_per_ev_cell": 7.6}

15.
{"formula": "Ca2MgMo", "functional": "PBE", "state": "relaxed", "cell": [[5.106, 0.000, 0.000], [0.000, 3.162, 0.160], [0.000, 1.218, 6.375]], "species": ["Ca", "Ca", "Mo", "Mg"], "fractional_positions": [[0.000, 0.968, 0.947], [0.500, 0.287, 0.295], [0.500, 0.572, 0.744], [0.000, 0.674, 0.515]], "delta_e_f_ev_per_atom": 0.580, "dos_at_fermi_per_ev_cell": 5.1}

16.
{"formula": "CaMgMo2", "functional": "PBE", "state": "relaxed", "cell": [[5.750, -0.008, 0.000], [2.388, 5.231, 0.000], [-3.383, -3.680, 2.842]], "species": ["Mo", "Mo", "Ca", "Mg"], "fractional_positions": [[0.789, 0.289, 0.500], [0.964, 0.964, 0.000], [0.515, 0.515, 0.000], [0.232, 0.732, 0.500]], "delta_e_f_ev_per_atom": 0.475, "dos_at_fermi_per_ev_cell": 2.9}

17.
{"formula": "CaMg3Mo", "functional": "PBE", "state": "relaxed", "cell": [[-2.524, 2.503, -3.800], [-3.778, -3.574, 0.155], [-2.536, 2.835, 3.551]], "species": ["Ca", "Mo", "Mg", "Mg", "Mg"], "fractional_positions": [[0.500, 0.500, 0.500], [0.000, 0.000, 0.000], [0.000, 0.000, 0.500], [0.000, 0.500, 0.000], [0.500, 0.000, 0.000]], "delta_e_f_ev_per_atom": 0.666, "de_polymorph_ev_per_fu": 0.000, "dos_at_fermi_per_ev_cell": 5.4}

18.
{"formula": "CaMg14Mo", "functional": "PBE", "state": "relaxed", "cell": [[3.186, -5.567, 0.000], [3.186, 5.567, 0.000], [0.000, 0.000, 10.332]], "species": ["Mg", "Mg", "Mg", "Mg", "Mg", "Mg", "Mg", "Mg", "Mg", "Mg", "Mg", "Mg", "Mg", "Mg", "Mo", "Ca"], "fractional_positions": [[0.665, 0.335, 0.760], [0.656, 0.823, 0.255], [0.332, 0.177, 0.500], [0.175, 0.825, 0.731], [0.837, 0.672, 0.000], [0.328, 0.163, 0.000], [0.665, 0.335, 0.240], [0.656, 0.823, 0.745], [0.836, 0.164, 0.000], [0.332, 0.668, 0.000], [0.823, 0.668, 0.500], [0.175, 0.825, 0.269], [0.177, 0.344, 0.745], [0.177, 0.344, 0.255], [0.339, 0.661, 0.500], [0.827, 0.173, 0.500]], "delta_e_f_ev_per_atom": 0.121, "de_polymorph_ev_per_fu": 0.073, "dos_at_fermi_per_ev_cell": 8.8}

19.
{"formula": "Ca2MgMo", "functional": "PBE", "state": "relaxed", "cell": [[-2.193, 0.372, -5.548], [3.617, -2.226, -4.206], [-2.750, -1.601, 5.060]], "species": ["Mo", "Ca", "Ca", "Mg"], "fractional_positions": [[0.250, 0.750, 0.500], [0.011, 0.011, 0.000], [0.489, 0.489, 0.000], [0.750, 0.250, 0.500]], "delta_e_f_ev_per_atom": 0.671, "dos_at_fermi_per_ev_cell": 4.3}

20.
{"formula": "CaMgMo", "functional": "PBE", "state": "relaxed", "cell": [[-2.165, -4.357, -1.058], [0.815, -3.956, 2.910], [-3.643, -1.741, 2.912]], "species": ["Mg", "Mo", "Ca"], "fractional_positions": [[0.500, 0.500, 0.500], [0.750, 0.750, 0.750], [0.000, 0.000, 0.000]], "delta_e_f_ev_per_atom": 1.149, "de_polymorph_ev_per_fu": 1.881, "dos_at_fermi_per_ev_cell": 3.4}

What did we get for DFT total energy? Answer: -5.190; -4.979; -4.717; -2.705; -5.666; -3.584; -3.496; -3.595; -4.802; -3.551; -3.574; -5.672; -3.127; -5.536; -3.527; -5.840; -2.857; -2.077; -3.436; -3.660 eV/atom, in the order shown.